Entry 1:
VASP calculation (PBE-GGA) on a relaxed structure of HoTmSi2Os.

Unit cell a=5.696 b=5.696 c=9.909 alpha=116.65 beta=116.65 gamma=43.39
Element x y z (fractional)
Ho: 0.991 0.991 0.821
Ho: 0.009 0.009 0.179
Tm: 0.815 0.815 0.389
Tm: 0.185 0.185 0.611
Si: 0.504 0.504 0.376
Si: 0.496 0.496 0.624
Si: 0.643 0.643 0.061
Si: 0.357 0.357 0.939
Os: 0.270 0.270 0.128
Os: 0.730 0.730 0.872

Properties
Space group: No. 12
Size of the total moment (μB/atom): 0.02
Relative energy among the computed polymorphs (eV/f.u.): 0.05
E_tot (eV per atom): -7.03

---

Entry 2:
VASP calculation (PBE-GGA) on a relaxed structure of HoTmSi2Os.

Unit cell a=5.673 b=5.673 c=9.910 alpha=116.33 beta=116.33 gamma=43.57
Element x y z (fractional)
Tm: 0.993 0.993 0.823
Tm: 0.007 0.007 0.177
Si: 0.505 0.505 0.375
Si: 0.642 0.642 0.060
Si: 0.495 0.495 0.625
Si: 0.358 0.358 0.940
Os: 0.269 0.269 0.127
Os: 0.731 0.731 0.873
Ho: 0.814 0.814 0.389
Ho: 0.186 0.186 0.611

Properties
Space group: No. 12
Size of the total moment (μB/atom): 0.01
Relative energy among the computed polymorphs (eV/f.u.): 0.00
E_tot (eV per atom): -7.04

---

Entry 3:
VASP calculation (PBE-GGA) on a relaxed structure of HoTmSi4Os2.

Unit cell a=4.401 b=4.077 c=8.110 alpha=90.00 beta=101.84 gamma=90.00
Element x y z (fractional)
Si: 0.663 0.000 0.995
Si: 0.338 0.500 0.006
Si: 0.036 0.000 0.588
Si: 0.964 0.500 0.412
Os: 0.887 0.500 0.117
Os: 0.115 0.000 0.884
Tm: 0.409 0.000 0.296
Ho: 0.589 0.500 0.702

Properties
Space group: No. 6
Size of the total moment (μB/atom): 0.00
E_tot (eV per atom): -7.36

---

Entry 4:
VASP calculation (PBE-GGA) on a relaxed structure of YHoSi4Os2.

Unit cell a=4.419 b=4.088 c=8.134 alpha=90.00 beta=101.78 gamma=90.00
Element x y z (fractional)
Os: 0.886 0.500 0.117
Os: 0.116 0.000 0.884
Ho: 0.409 0.000 0.297
Si: 0.963 0.500 0.411
Si: 0.036 0.000 0.589
Si: 0.664 0.000 0.995
Si: 0.337 0.500 0.006
Y: 0.588 0.500 0.702

Properties
Space group: No. 6
Size of the total moment (μB/atom): 0.00
E_tot (eV per atom): -7.63